Entry 1:
Computed, not measured: a relaxed structure of Nd4Dy8Mg at the GGA-PBE level of DFT.

- magnetization (μB per formula unit) = 0.00
- E_form (kJ/mol of formula units) = 689.0
- DOS(E_F) (states/eV/f.u.) = 20.9

Cell and atoms, written as CIF:
```
data_Nd4Dy8Mg
_space_group_name_H-M_alt 'P m -3 m'
_space_group_IT_number 221
_space_group_name_Hall '-P 4 2 3'
_cell_length_a 7.7756
_cell_length_b 7.7756
_cell_length_c 7.7756
_cell_angle_alpha 90.00
_cell_angle_beta 90.00
_cell_angle_gamma 90.00
loop_
_atom_site_label
_atom_site_fract_x
_atom_site_fract_y
_atom_site_fract_z
Nd1 0.0000 0.0000 0.0000
Nd2 0.0000 0.5000 0.5000
Dy1 0.2428 0.2428 0.2428
Mg1 0.5000 0.5000 0.5000
```

***

Entry 2:
Computed, not measured: a relaxed structure of Nd7Dy12Mg at the GGA-PBE level of DFT.

- magnetization (μB per formula unit) = 0.00
- E_form (kJ/mol of formula units) = 388.5
- DOS(E_F) (states/eV/f.u.) = 30.9

Cell and atoms, written as CIF:
```
data_Nd7Dy12Mg
_space_group_name_H-M_alt 'R -3'
_space_group_IT_number 148
_space_group_name_Hall '-R 3'
_cell_length_a 11.9947
_cell_length_b 11.9947
_cell_length_c 16.1018
_cell_angle_alpha 90.00
_cell_angle_beta 90.00
_cell_angle_gamma 120.00
loop_
_atom_site_label
_atom_site_fract_x
_atom_site_fract_y
_atom_site_fract_z
Nd1 0.0000 0.0000 0.0000
Nd2 0.0588 0.8718 0.2901
Dy1 0.0340 0.5775 0.2185
Dy2 0.0542 0.4705 0.5840
Mg1 0.0000 0.0000 0.5000
```

***

Q: Which of these has the highest E_form?
A: Nd4Dy8Mg